WCl, optimized geometry, DFT PBE; space group = I4/m, No. 87; formation energy without anion corrections = 0.409 eV per atom; energy above the lowest structure with this stoichiometry = 653 meV/atom; crystal system = tetragonal
1.0
11.2952 0.0000 0.0000
0.0000 11.2952 0.0000
0.0000 0.0000 3.2213
W Cl
8 8
Direct
0.7971 0.6869 0.5000 W
0.2971 0.1869 0.0000 W
0.6869 0.2029 0.5000 W
0.2029 0.3131 0.5000 W
0.8131 0.2971 0.0000 W
0.3131 0.7971 0.5000 W
0.1869 0.7029 0.0000 W
0.7029 0.8131 0.0000 W
0.0021 0.2412 0.5000 Cl
0.2412 0.9979 0.5000 Cl
0.4979 0.2588 0.0000 Cl
0.7412 0.4979 0.0000 Cl
0.2588 0.5021 0.0000 Cl
0.9979 0.7588 0.5000 Cl
0.5021 0.7412 0.0000 Cl
0.7588 0.0021 0.5000 Cl